Below is crystalline Li2AgBr at its relaxed geometry, with properties calculated at the PBE level.

As for the total magnetization: 0.0 μB/f.u. The density of states at the Fermi level comes out at 0.0000 states/eV per atom. The uncorrected formation energy is -445 meV per atom. The energy above the most stable polymorph in this dataset is 0.210 eV/atom.

Geometry as POSCAR:
```
Li2AgBr
1.0
0.170 1.011 4.775
-2.312 3.931 1.748
-3.997 -0.541 2.755
Br Ag Li
1 1 2
direct
0.000 0.000 0.000 Br
0.500 0.500 0.500 Ag
0.250 0.250 0.250 Li
0.750 0.750 0.750 Li
```